[1]
Compound: RbScS2
Source: Alexandria
Functional: PBE-GGA
Structure: optimized geometry

a = 7.7771 Å, b = 6.9993 Å, c = 6.9993 Å
α = 79.59°, β = 116.40°, γ = 63.60°
Last column: nearest neighbours and their distance in Å.
Sites, in units of the cell vectors:
1 S 0.8403 0.8711 0.9162  2 Sc 2.45-2.47
2 S 0.6597 0.4162 0.3711  2 Sc 2.45-2.47
3 S 0.1597 0.1289 0.0838  2 Sc 2.45-2.47
4 S 0.3403 0.5838 0.6289  2 Sc 2.45-2.47
5 Rb 0.7500 0.8820 0.3820  6 S 3.40-3.63
6 Rb 0.2500 0.1180 0.6180  6 S 3.40-3.63
7 Sc 0.2500 0.7277 0.2277  4 S 2.45-2.47
8 Sc 0.7500 0.2723 0.7723  4 S 2.45-2.47

Computed properties:
energy relative to the elements, uncorrected	-1.60	eV/atom
magnetic moment	0.0	μB/f.u.
density	2.397	Mg/m³

---

[2]
Compound: RbScS2
Source: Alexandria
Functional: PBE-GGA
Structure: optimized geometry

a = 6.6041 Å, b = 3.7533 Å, c = 18.7948 Å
α = 90.00°, β = 90.00°, γ = 90.00°
Last column: nearest neighbours and their distance in Å.
Sites, in units of the cell vectors:
1 Rb 0.8088 0.7500 0.3256  5 S 3.27-3.38
2 Rb 0.1912 0.2500 0.6744  5 S 3.27-3.38
3 Rb 0.6912 0.2500 0.8256  5 S 3.27-3.38
4 Rb 0.3088 0.7500 0.1744  5 S 3.27-3.38
5 S 0.6986 0.2500 0.6489  2 Sc 2.53
6 S 0.7161 0.2500 0.4646  3 Sc 2.50-2.63
7 S 0.3014 0.7500 0.3511  2 Sc 2.53
8 S 0.1986 0.2500 0.8511  2 Sc 2.53
9 S 0.2161 0.2500 0.0354  3 Sc 2.50-2.63
10 S 0.2839 0.7500 0.5354  3 Sc 2.50-2.63
11 S 0.8014 0.7500 0.1489  2 Sc 2.53
12 S 0.7839 0.7500 0.9646  3 Sc 2.50-2.63
13 Sc 0.1550 0.7500 0.9397  5 S 2.50-2.63
14 Sc 0.8450 0.2500 0.0603  5 S 2.50-2.63
15 Sc 0.3450 0.2500 0.4397  5 S 2.50-2.63
16 Sc 0.6550 0.7500 0.5603  5 S 2.50-2.63

Computed properties:
energy relative to the elements, uncorrected	-1.62	eV/atom
magnetic moment	0.0	μB/f.u.
density	2.774	Mg/m³

---

[3]
Compound: RbScS2
Source: Alexandria
Functional: PBE-GGA
Structure: optimized geometry

a = 8.7400 Å, b = 8.7400 Å, c = 8.7400 Å
α = 28.36°, β = 28.36°, γ = 28.36°
Last column: nearest neighbours and their distance in Å.
Sites, in units of the cell vectors:
1 S 0.6406 0.6406 0.6406  3 Sc 2.62
2 S 0.0977 0.0977 0.0977  1 Sc 2.26
3 Rb 0.5050 0.5050 0.5050  4 S 3.09-3.41
4 Sc 0.0078 0.0078 0.0078  1 S 2.26

Computed properties:
energy relative to the elements, uncorrected	-1.39	eV/atom
magnetic moment	0.0	μB/f.u.
density	2.427	Mg/m³

---

[4]
Compound: Rb2Sc2Se2S
Source: Alexandria
Functional: PBE-GGA
Structure: optimized geometry

a = 4.8714 Å, b = 4.8714 Å, c = 9.3717 Å
α = 105.06°, β = 105.06°, γ = 90.00°
Last column: nearest neighbours and their distance in Å.
Sites, in units of the cell vectors:
1 Sc 0.0000 0.5000 0.0000  2 S 2.44
2 Sc 0.5000 0.0000 0.0000  2 S 2.44
3 S 0.0000 0.0000 0.0000  4 Sc 2.44
4 Rb 0.1837 0.1837 0.3674  1 S 3.20
5 Rb 0.8163 0.8163 0.6326  1 S 3.20
6 Se 0.6035 0.6035 0.2069  4 Sc 3.03
7 Se 0.3965 0.3965 0.7931  4 Sc 3.03

Computed properties:
energy relative to the elements, uncorrected	-1.27	eV/atom
magnetic moment	0.7	μB/f.u.
density	3.620	Mg/m³

---

Look up the density of the fourth one.
3.620 Mg/m³

---

Which value of energy relative to the elements, uncorrected does entry 4 give?
-1.27 eV/atom

---

Which formula does entry 3 have?
RbScS2

---

Number 1 is which compound?
RbScS2